# Na3CaTl3Cl8, relaxed, DFT PBE-GGA
data_Na3CaTl3Cl8
_cell_length_a 8.3593
_cell_length_b 8.3593
_cell_length_c 22.2989
_cell_angle_alpha 90.00
_cell_angle_beta 90.00
_cell_angle_gamma 120.00
_space_group_name_H-M_alt 'R -3 m'
_space_group_IT_number 166
_space_group_name_Hall '-R 3 2"'
loop_
_atom_site_label
_atom_site_type_symbol
_atom_site_fract_x
_atom_site_fract_y
_atom_site_fract_z
Na1 Na 0.0000 0.5000 0.0000
Ca1 Ca 0.0000 0.0000 0.0000
Tl1 Tl 0.0000 0.5000 0.5000
Cl1 Cl 0.0000 0.0000 0.2633
Cl2 Cl 0.0149 0.5074 0.7347
# Volume = 29.99 Å³ per atom
# Density of states at the Fermi level = 0.00 states/eV per cell
# Formation energy from raw total energies = -24.040 eV/f.u.
# Calculated total energy = -3.458 eV per atom

=====

# NaCaTlCl6, relaxed, DFT PBE-GGA
data_NaCaTlCl6
_cell_length_a 6.9232
_cell_length_b 6.9232
_cell_length_c 12.4645
_cell_angle_alpha 90.00
_cell_angle_beta 90.00
_cell_angle_gamma 120.00
_space_group_name_H-M_alt 'P -3 1 c'
_space_group_IT_number 163
_space_group_name_Hall '-P 3 2c'
loop_
_atom_site_label
_atom_site_type_symbol
_atom_site_fract_x
_atom_site_fract_y
_atom_site_fract_z
Na1 Na 0.0000 0.0000 0.0000
Ca1 Ca 0.3333 0.6667 0.2500
Tl1 Tl 0.3333 0.6667 0.7500
Cl1 Cl 0.0128 0.3589 0.6297
# Volume = 28.74 Å³ per atom
# Density of states at the Fermi level = 0.00 states/eV per cell
# Formation energy from raw total energies = -13.434 eV/f.u.
# Calculated total energy = -3.356 eV per atom

=====

# NaCaTmCl6, relaxed, DFT PBE-GGA
data_NaCaTmCl6
_cell_length_a 6.9339
_cell_length_b 6.9339
_cell_length_c 12.4206
_cell_angle_alpha 90.00
_cell_angle_beta 90.00
_cell_angle_gamma 120.00
_space_group_name_H-M_alt 'P -3 1 c'
_space_group_IT_number 163
_space_group_name_Hall '-P 3 2c'
loop_
_atom_site_label
_atom_site_type_symbol
_atom_site_fract_x
_atom_site_fract_y
_atom_site_fract_z
Na1 Na 0.0000 0.0000 0.0000
Ca1 Ca 0.3333 0.6667 0.2500
Tm1 Tm 0.3333 0.6667 0.7500
Cl1 Cl 0.0152 0.3608 0.6315
# Volume = 28.73 Å³ per atom
# Density of states at the Fermi level = 0.00 states/eV per cell
# Formation energy from raw total energies = -20.032 eV/f.u.
# Calculated total energy = -4.323 eV per atom

=====

# NaCa2TmCl8, relaxed, DFT PBE-GGA
data_NaCa2TmCl8
_cell_length_a 6.362
_cell_length_b 8.367
_cell_length_c 6.452
_cell_angle_alpha 90.00
_cell_angle_beta 90.34
_cell_angle_gamma 90.00
_space_group_name_H-M_alt 'P 1 2/m 1'
_space_group_IT_number 10
loop_
_space_group_symop_operation_xyz
'x,y,z'
'-x,-y,-z'
'-x,y,-z'
'x,-y,z'
loop_
_atom_site_label
_atom_site_type_symbol
_atom_site_fract_x
_atom_site_fract_y
_atom_site_fract_z
Na1 Na 0.000 0.000 0.000
Ca1 Ca 0.500 0.243 0.500
Tm1 Tm 0.000 0.500 0.000
Cl1 Cl 0.206 0.272 0.815
Cl2 Cl 0.284 0.500 0.305
Cl3 Cl 0.295 0.000 0.315
# Volume = 28.62 Å³ per atom
# Density of states at the Fermi level = 0.00 states/eV per cell
# Formation energy from raw total energies = -27.043 eV/f.u.
# Calculated total energy = -4.301 eV per atom